Material: Rb2TlAs2S6
Method: DFT, PBE
State: optimized geometry

Cell: 12.728 7.228 8.403 Å, 90.00 118.72 90.00°
Space group C2/m (No. 12)
Inequivalent atoms, fractional coordinates:
Rb 0.210 0.000 0.216 [4 per cell]
Tl 0.000 0.000 0.500 [2 per cell]
As 0.030 0.500 0.176 [4 per cell]
S 0.058 0.249 0.804 [8 per cell]
S 0.222 0.500 0.331 [4 per cell]

Values from the calculation:
formation energy (no corrections): -0.438 eV/atom
M_tot: 0.00 μB per atom
Fermi-level density of states: 0.341 states/eV/atom

=====

Material: PmSn5
Method: DFT, PBE
State: optimized geometry

Cell: 4.657 15.325 4.603 Å, 90.00 90.00 90.00°
Space group Cmmm (No. 65)
Inequivalent atoms, fractional coordinates:
Pm 0.000 0.000 0.000 [2 per cell]
Sn 0.000 0.171 0.500 [4 per cell]
Sn 0.000 0.341 0.000 [4 per cell]
Sn 0.000 0.500 0.500 [2 per cell]

Values from the calculation:
M_tot: 0.00 μB per atom
Fermi-level density of states: 0.444 states/eV/atom
ΔH_f (0 K): -269 meV/atom

=====

| no. | theoretical density (g/cm3) |
| --- | --- |
| 1 | 3.51 |
| 2 | 7.47 |